Material: NiPtSe2
Method: DFT, GGA-PBE
State: relaxed

The space group is Amm2 (No. 38) and the conventional cell measures 4.430, 4.838 and 6.858 Å, with angles of 90.00, 90.00 and 90.00 degrees. The inequivalent atoms are Ni at (0.000, 0.000, 0.000), Pt at (0.500, 0.000, 0.222), Se at (0.000, 0.000, 0.393) and Se at (0.500, 0.000, 0.846).

The value obtained for the density of states at the Fermi level is 4.03 states/eV per cell. As for the uncorrected formation energy: -0.160 eV/atom.

***

Material: KTmBi2
Method: DFT, GGA-PBE
State: relaxed

The space group is P4/mmm (No. 123) and the conventional cell measures 3.689, 3.689 and 9.563 Å, with angles of 90.00, 90.00 and 90.00 degrees. The inequivalent atoms are K at (0.000, 0.000, 0.000), Tm at (0.000, 0.000, 0.500) and Bi at (0.500, 0.500, 0.282).

The value obtained for the density of states at the Fermi level is 2.43 states/eV per cell. The calculated formation energy is -0.492 eV/atom. The energy above the most stable polymorph in this dataset is 0.0 meV per atom.

***

Material: Ba3CaTi
Method: DFT, GGA-PBE
State: relaxed

The space group is Pm-3m (No. 221) and the conventional cell measures 6.367, 6.367 and 6.367 Å, with angles of 90.00, 90.00 and 90.00 degrees. The inequivalent atoms are Ba at (0.000, 0.000, 0.500), Ca at (0.500, 0.500, 0.500) and Ti at (0.000, 0.000, 0.000).

The value obtained for the density of states at the Fermi level is 7.54 states/eV per cell. The calculated formation energy is 0.573 eV/atom. The energy above the most stable polymorph in this dataset is 0.0 meV per atom.

***

Material: LaIn3Cu2
Method: DFT, GGA-PBE
State: relaxed

The space group is C2/m (No. 12) and the conventional cell measures 16.690, 4.431 and 8.450 Å, with angles of 90.00, 120.36 and 90.00 degrees. The inequivalent atoms are La at (0.132, 0.000, 0.131), In at (0.000, 0.000, 0.335), In at (0.165, 0.500, 0.470), In at (0.165, 0.500, 0.858), Cu at (0.000, 0.500, 0.146) and Cu at (0.191, 0.000, 0.691).

The value obtained for the density of states at the Fermi level is 11.70 states/eV per cell. The calculated formation energy is -0.239 eV/atom.

***

Material: La5Hg3
Method: DFT, GGA-PBE
State: relaxed

The space group is C2/m (No. 12) and the conventional cell measures 6.348, 17.885 and 9.382 Å, with angles of 90.00, 109.02 and 90.00 degrees. The inequivalent atoms are La at (0.101, 0.183, 0.192), La at (0.187, 0.401, 0.366), La at (0.237, 0.500, 0.973), Hg at (0.000, 0.250, 0.500), Hg at (0.000, 0.339, 0.000) and Hg at (0.134, 0.000, 0.326).

The value obtained for the density of states at the Fermi level is 45.07 states/eV per cell. The calculated formation energy is -0.354 eV/atom. The energy above the most stable polymorph in this dataset is 15.2 meV per atom.

***

Material: BeZnCuPd
Method: DFT, GGA-PBE
State: relaxed

The space group is P4mm (No. 99) and the conventional cell measures 2.782, 2.782 and 6.348 Å, with angles of 90.00, 90.00 and 90.00 degrees. The inequivalent atoms are Be at (0.000, 0.000, 0.000), Zn at (0.000, 0.000, 0.514), Cu at (0.500, 0.500, 0.787) and Pd at (0.500, 0.500, 0.217).

The value obtained for the density of states at the Fermi level is 1.60 states/eV per cell. The calculated formation energy is -0.306 eV/atom.

***

Material: LiSc2HgIr
Method: DFT, GGA-PBE
State: relaxed

The space group is P4/mmm (No. 123) and the conventional cell measures 5.203, 5.203 and 4.282 Å, with angles of 90.00, 90.00 and 90.00 degrees. The inequivalent atoms are Li at (0.000, 0.000, 0.000), Sc at (0.000, 0.500, 0.500), Hg at (0.000, 0.000, 0.500) and Ir at (0.500, 0.500, 0.000).

The value obtained for the density of states at the Fermi level is 5.76 states/eV per cell. The calculated formation energy is 0.590 eV/atom. The energy above the most stable polymorph in this dataset is 799.3 meV per atom.

***

Material: CoHPdRh2
Method: DFT, GGA-PBE
State: relaxed

The space group is P4/mmm (No. 123) and the conventional cell measures 3.880, 3.880 and 3.893 Å, with angles of 90.00, 90.00 and 90.00 degrees. The inequivalent atoms are Co at (0.000, 0.000, 0.000), H at (0.500, 0.500, 0.500), Pd at (0.500, 0.500, 0.000) and Rh at (0.000, 0.500, 0.500).

The value obtained for the density of states at the Fermi level is 5.80 states/eV per cell. The energy above the most stable polymorph in this dataset is 24.1 meV per atom.

***

Material: AcLaDySn
Method: DFT, GGA-PBE
State: relaxed

The space group is F-43m (No. 216) and the conventional cell measures 8.011, 8.011 and 8.011 Å, with angles of 90.00, 90.00 and 90.00 degrees. The inequivalent atoms are Ac at (0.000, 0.000, 0.000), La at (0.250, 0.250, 0.250), Dy at (0.250, 0.250, 0.750) and Sn at (0.000, 0.000, 0.500).

The value obtained for the density of states at the Fermi level is 26.23 states/eV per cell. The calculated formation energy is -0.202 eV/atom.

***

Material: KCoAs2
Method: DFT, GGA-PBE
State: relaxed

The space group is P4mm (No. 99) and the conventional cell measures 3.340, 3.340 and 7.758 Å, with angles of 90.00, 90.00 and 90.00 degrees. The inequivalent atoms are K at (0.000, 0.000, 0.000), Co at (0.500, 0.500, 0.606), As at (0.000, 0.000, 0.575) and As at (0.500, 0.500, 0.305).

The value obtained for the density of states at the Fermi level is 3.92 states/eV per cell. The calculated formation energy is 0.133 eV/atom. The energy above the most stable polymorph in this dataset is 374.6 meV per atom.

***

Material: Nd2Dy4ErSc
Method: DFT, GGA-PBE
State: relaxed

The space group is P4/mmm (No. 123) and the conventional cell measures 5.012, 5.012 and 9.978 Å, with angles of 90.00, 90.00 and 90.00 degrees. The inequivalent atoms are Nd at (0.000, 0.000, 0.000), Nd at (0.500, 0.500, 0.500), Dy at (0.000, 0.500, 0.246), Er at (0.000, 0.000, 0.500) and Sc at (0.500, 0.500, 0.000).

The value obtained for the density of states at the Fermi level is 11.72 states/eV per cell. The calculated formation energy is 0.034 eV/atom.

***

Material: RuOF3
Method: DFT, GGA-PBE
State: relaxed

The space group is Pm-3m (No. 221) and the conventional cell measures 3.897, 3.897 and 3.897 Å, with angles of 90.00, 90.00 and 90.00 degrees. The inequivalent atoms are Ru at (0.000, 0.000, 0.000), O at (0.500, 0.500, 0.500) and F at (0.000, 0.500, 0.500).

The value obtained for the density of states at the Fermi level is 5.22 states/eV per cell. As for the uncorrected formation energy: 0.444 eV/atom. The energy above the most stable polymorph in this dataset is 1757.8 meV per atom.

***

Material: Ce3Te2N
Method: DFT, GGA-PBE
State: relaxed

The space group is C2/c (No. 15) and the conventional cell measures 13.499, 6.252 and 7.989 Å, with angles of 90.00, 105.60 and 90.00 degrees. The inequivalent atoms are Ce at (0.000, 0.057, 0.250), Ce at (0.123, 0.489, 0.584), Te at (0.184, 0.009, 0.084) and N at (0.000, 0.421, 0.250).

The value obtained for the density of states at the Fermi level is 67.35 states/eV per cell. As for the uncorrected formation energy: -1.226 eV/atom.

***

Material: Cs3Na5Sb2
Method: DFT, GGA-PBE
State: relaxed

The space group is Ibam (No. 72) and the conventional cell measures 13.963, 17.374 and 8.159 Å, with angles of 90.00, 90.00 and 90.00 degrees. The inequivalent atoms are Cs at (0.000, 0.000, 0.250), Cs at (0.238, 0.144, 0.000), Na at (0.000, 0.234, 0.250), Na at (0.000, 0.500, 0.250), Na at (0.161, 0.385, 0.000) and Sb at (0.135, 0.160, 0.500).

The value obtained for the density of states at the Fermi level is 8.75 states/eV per cell. As for the uncorrected formation energy: -0.216 eV/atom.

***

Material: KSbP2O
Method: DFT, GGA-PBE
State: relaxed

The space group is P4/mmm (No. 123) and the conventional cell measures 5.362, 5.362 and 4.096 Å, with angles of 90.00, 90.00 and 90.00 degrees. The inequivalent atoms are K at (0.000, 0.000, 0.000), Sb at (0.500, 0.500, 0.500), P at (0.000, 0.500, 0.000) and O at (0.000, 0.000, 0.500).

The value obtained for the density of states at the Fermi level is 4.14 states/eV per cell. As for the uncorrected formation energy: 1.420 eV/atom. The energy above the most stable polymorph in this dataset is 1277.4 meV per atom.

***

Material: Cs5K
Method: DFT, GGA-PBE
State: relaxed

The space group is I4/mcm (No. 140) and the conventional cell measures 11.565, 11.565 and 20.428 Å, with angles of 90.00, 90.00 and 90.00 degrees. The inequivalent atoms are Cs at (0.000, 0.000, 0.000), Cs at (0.156, 0.344, 0.139) and K at (0.000, 0.000, 0.250).

The value obtained for the density of states at the Fermi level is 25.83 states/eV per cell. The calculated formation energy is 0.030 eV/atom. The energy above the most stable polymorph in this dataset is 25.7 meV per atom.

***

Material: Sr2Ca2Bi2Se
Method: DFT, GGA-PBE
State: relaxed

The space group is I4/mmm (No. 139) and the conventional cell measures 5.389, 5.389 and 17.582 Å, with angles of 90.00, 90.00 and 90.00 degrees. The inequivalent atoms are Sr at (0.000, 0.000, 0.177), Ca at (0.000, 0.500, 0.000), Bi at (0.000, 0.000, 0.370) and Se at (0.000, 0.000, 0.000).

As for the uncorrected formation energy: -1.156 eV/atom.

***

Material: BaCdCu2
Method: DFT, GGA-PBE
State: relaxed

The space group is Amm2 (No. 38) and the conventional cell measures 4.119, 4.045 and 12.112 Å, with angles of 90.00, 90.00 and 90.00 degrees. The inequivalent atoms are Ba at (0.000, 0.000, 0.000), Cd at (0.500, 0.000, 0.715), Cu at (0.000, 0.000, 0.265) and Cu at (0.500, 0.000, 0.369).

The value obtained for the density of states at the Fermi level is 1.91 states/eV per cell. The calculated formation energy is 0.016 eV/atom.

***

Number 1: total moment 0.00 μB/f.u.. Number 2: total moment 0.00 μB/f.u.. Number 3: total moment 1.55 μB/f.u.. Number 4: total moment 0.00 μB/f.u.. Number 5: total moment 0.00 μB/f.u.. Number 6: total moment 0.00 μB/f.u.. Number 7: total moment 0.00 μB/f.u.. Number 8: total moment 3.54 μB/f.u.. Number 9: total moment 0.00 μB/f.u.. Number 10: total moment 0.00 μB/f.u.. Number 11: total moment 0.00 μB/f.u.. Number 12: total moment 3.79 μB/f.u.. Number 13: total moment 3.41 μB/f.u.. Number 14: total moment 0.00 μB/f.u.. Number 15: total moment 0.00 μB/f.u.. Number 16: total moment 0.00 μB/f.u.. Number 17: total moment 0.00 μB/f.u.. Number 18: total moment 0.00 μB/f.u..